1.
Here is a relaxed PaNb5 crystal from the Alexandria database. Energies are from PBE.

Cell: 4.8566 14.1566 3.3525 Å, 90.00 90.00 90.00°
Sites, in units of the cell vectors:
Pa1 0.0000 0.0000 0.0000
Pa2 0.5000 0.5000 0.0000
Nb1 0.0000 0.1659 0.5000
Nb2 0.0000 0.3285 0.0000
Nb3 0.0000 0.5000 0.5000
Nb4 0.0000 0.6715 0.0000
Nb5 0.0000 0.8341 0.5000
Nb6 0.5000 0.0000 0.5000
Nb7 0.5000 0.1715 0.0000
Nb8 0.5000 0.3341 0.5000
Nb9 0.5000 0.6659 0.5000
Nb10 0.5000 0.8285 0.0000

Crystal system = orthorhombic
Formation energy = 0.043 eV per atom
Magnetization = 0.000 μB/atom
DFT total energy = -119.18 eV/cell
Space-group type = Cmmm

=====

2.
Here is a relaxed ZrCd3Sb crystal from the Alexandria database. Energies are from PBE.

Cell: 5.4408 5.4408 5.4408 Å, 90.00 90.00 90.00°
Sites, in units of the cell vectors:
Zr1 0.0000 0.0000 0.0000
Cd1 0.0000 0.5000 0.5000
Cd2 0.5000 0.0000 0.5000
Cd3 0.5000 0.5000 0.0000
Sb1 0.5000 0.5000 0.5000

Crystal system = cubic
Uncorrected formation energy = 930 meV/atom
Energy above the most stable polymorph in this dataset = 20 meV/atom
Magnetization = 0.388 μB/atom
DFT total energy = -10.76 eV/cell
Space-group type = Pm-3m

=====

3.
Here is a relaxed PrMg2Zn2In2 crystal from the Alexandria database. Energies are from PBE.

Cell: 9.0000 9.0000 9.0000 Å, 30.23 30.23 30.23°
Sites, in units of the cell vectors:
Pr1 0.0000 0.0000 0.0000
Mg1 0.1344 0.1344 0.1344
Mg2 0.8656 0.8656 0.8656
Zn1 0.4000 0.4000 0.4000
Zn2 0.6000 0.6000 0.6000
In1 0.2526 0.2526 0.2526
In2 0.7474 0.7474 0.7474

Crystal system = trigonal
Formation energy = -0.270 eV per atom
Magnetization = 0.000 μB/atom
DFT total energy = -17.88 eV/cell
Space-group type = R-3m

=====

4.
Here is a relaxed BaBSe4 crystal from the Alexandria database. Energies are from PBE.

Cell: 6.5586 6.7932 8.5085 Å, 82.39 83.57 88.38°
Sites, in units of the cell vectors:
Ba1 0.2476 0.2275 0.0389
Ba2 0.7524 0.7725 0.9611
B1 0.0000 0.0000 0.5000
B2 0.5000 0.5000 0.5000
Se1 0.2332 0.7118 0.0988
Se2 0.2571 0.8256 0.8183
Se3 0.2592 0.4760 0.6277
Se4 0.2625 0.0722 0.4317
Se5 0.7375 0.9278 0.5683
Se6 0.7408 0.5240 0.3723
Se7 0.7429 0.1744 0.1817
Se8 0.7668 0.2882 0.9012

Crystal system = triclinic
Uncorrected formation energy = -531 meV/atom
Magnetization = 0.000 μB/atom
DFT total energy = -51.45 eV/cell
Space-group type = P-1

=====

5.
Here is a relaxed PmZnNi crystal from the Alexandria database. Energies are from PBE.

Cell: 6.9170 4.0743 8.0520 Å, 90.00 90.00 90.00°
Sites, in units of the cell vectors:
Pm1 0.0391 0.2500 0.1877
Pm2 0.4609 0.7500 0.6877
Pm3 0.5391 0.2500 0.3123
Pm4 0.9609 0.7500 0.8123
Zn1 0.1419 0.2500 0.5613
Zn2 0.3581 0.7500 0.0613
Zn3 0.6419 0.2500 0.9387
Zn4 0.8581 0.7500 0.4387
Ni1 0.2363 0.7500 0.3811
Ni2 0.2637 0.2500 0.8811
Ni3 0.7363 0.7500 0.1189
Ni4 0.7637 0.2500 0.6189

Crystal system = orthorhombic
Formation energy = -0.397 eV per atom
Energy above the most stable polymorph in this dataset = 0 meV/atom
Magnetization = 0.000 μB/atom
DFT total energy = -51.98 eV/cell
Space-group type = Pnma

=====

6.
Here is a relaxed NaHf crystal from the Alexandria database. Energies are from PBE.

Cell: 6.9824 6.9824 6.9824 Å, 90.00 90.00 90.00°
Sites, in units of the cell vectors:
Na1 0.0000 0.0000 0.0000
Na2 0.0000 0.5000 0.5000
Na3 0.5000 0.0000 0.5000
Na4 0.5000 0.5000 0.0000
Hf1 0.2500 0.2500 0.7500
Hf2 0.2500 0.7500 0.2500
Hf3 0.7500 0.2500 0.2500
Hf4 0.7500 0.7500 0.7500

Crystal system = cubic
Formation energy = 2.689 eV per atom
Energy above the most stable polymorph in this dataset = 2273 meV/atom
Magnetization = 1.170 μB/atom
DFT total energy = -23.57 eV/cell
Space-group type = F-43m

=====

7.
Here is a relaxed PaTlCrN4 crystal from the Alexandria database. Energies are from PBE.

Cell: 5.8935 5.5431 8.0028 Å, 90.00 106.49 90.00°
Sites, in units of the cell vectors:
Pa1 0.2338 0.2500 0.0612
Pa2 0.7662 0.7500 0.9388
Tl1 0.3016 0.2500 0.5975
Tl2 0.6984 0.7500 0.4025
Cr1 0.2361 0.7500 0.8499
Cr2 0.7639 0.2500 0.1501
N1 0.0429 0.5093 0.8406
N2 0.0429 0.9907 0.8406
N3 0.4318 0.7500 0.7225
N4 0.4403 0.7500 0.0510
N5 0.5597 0.2500 0.9490
N6 0.5682 0.2500 0.2775
N7 0.9571 0.0093 0.1594
N8 0.9571 0.4907 0.1594

Crystal system = monoclinic
Uncorrected formation energy = -582 meV/atom
Magnetization = 0.000 μB/atom
DFT total energy = -117.72 eV/cell
Space-group type = P2_1/m

=====

8.
Here is a relaxed Ta2ZnInS crystal from the Alexandria database. Energies are from PBE.

Cell: 4.6013 4.6013 4.6195 Å, 90.00 90.00 90.00°
Sites, in units of the cell vectors:
Ta1 0.0000 0.5000 0.0000
Ta2 0.5000 0.0000 0.0000
Zn1 0.0000 0.0000 0.5000
In1 0.5000 0.5000 0.5000
S1 0.0000 0.0000 0.0000

Crystal system = tetragonal
Uncorrected formation energy = 447 meV/atom
Magnetization = 0.000 μB/atom
DFT total energy = -29.61 eV/cell
Space-group type = P4/mmm

=====

9.
Here is a relaxed BeNb3Ir crystal from the Alexandria database. Energies are from PBE.

Cell: 4.3570 4.3570 4.3570 Å, 90.00 90.00 90.00°
Sites, in units of the cell vectors:
Be1 0.0000 0.0000 0.0000
Nb1 0.0000 0.0000 0.5000
Nb2 0.0000 0.5000 0.0000
Nb3 0.5000 0.0000 0.0000
Ir1 0.5000 0.5000 0.5000

Crystal system = cubic
Formation energy = 0.451 eV per atom
Magnetization = 0.000 μB/atom
DFT total energy = -40.54 eV/cell
Space-group type = Pm-3m

=====

10.
Here is a relaxed Ca2Hg2AsO6 crystal from the Alexandria database. Energies are from PBE.

Cell: 5.8528 5.8528 6.1557 Å, 90.52 90.52 120.74°
Sites, in units of the cell vectors:
Ca1 0.1619 0.8381 0.0000
Ca2 0.8381 0.1619 0.0000
Hg1 0.3432 0.6568 0.5000
Hg2 0.6568 0.3432 0.5000
As1 0.5000 0.5000 0.0000
O1 0.2226 0.5021 0.8247
O2 0.2379 0.2379 0.1601
O3 0.4979 0.7774 0.1753
O4 0.5021 0.2226 0.8247
O5 0.7621 0.7621 0.8399
O6 0.7774 0.4979 0.1753

Crystal system = monoclinic
Uncorrected formation energy = -1522 meV/atom
Magnetization = 0.000 μB/atom
DFT total energy = -55.74 eV/cell
Space-group type = C2/m